Ce2NdHo3Te6: relaxed, GGA-PBE.

abc: 9.9254 9.9254 8.9369
angles: 104.46 104.46 25.41
Closest atoms and distances in Å follow each position.
Fractional positions:
Ce 0.1670 0.1670 0.3341  6 Te 3.17-3.18
Ce 0.8330 0.8330 0.6659  6 Te 3.17-3.18
Nd 0.5000 0.5000 0.0000  6 Te 3.18-3.19
Ho 0.1652 0.1652 0.8325  6 Te 3.05-3.08
Ho 0.5000 0.5000 0.5000  6 Te 3.06-3.07
Ho 0.8348 0.8348 0.1675  6 Te 3.05-3.08
Te 0.0022 0.0022 0.7421  3 Ho 3.05-3.07, 1 Ce 3.17, 2 Nd 3.18
Te 0.3299 0.3299 0.9236  3 Ho 3.07-3.08, 2 Ce 3.18, 1 Nd 3.19
Te 0.3364 0.3364 0.4093  3 Ho 3.06-3.07, 3 Ce 3.18
Te 0.6636 0.6636 0.5907  3 Ho 3.06-3.07, 3 Ce 3.18
Te 0.6701 0.6701 0.0764  3 Ho 3.07-3.08, 2 Ce 3.18, 1 Nd 3.19
Te 0.9978 0.9978 0.2579  3 Ho 3.05-3.07, 1 Ce 3.17, 2 Nd 3.18

## Properties
The value obtained for the uncorrected energy is -0.1995 Ha/atom. Its space group is No. 12. The magnetization comes out at 2.6 μB per cell. The calculation puts the density of states at the Fermi level at 1.413 states/eV per atom.